(1)
## La2Ga2Ni15 (PBE)

Data for an optimized crystal structure of La2Ga2Ni15.

abc: 6.3894 6.3894 6.3894
angles: 82.69 82.69 82.69
Positions (direct):
La 0.1501 0.1501 0.1501
La 0.8499 0.8499 0.8499
Ga 0.3978 0.3978 0.3978
Ga 0.6022 0.6022 0.6022
Ni 0.0000 0.5000 0.5000
Ni 0.1581 0.1581 0.6497
Ni 0.1581 0.6497 0.1581
Ni 0.2075 0.5000 0.7925
Ni 0.2075 0.7925 0.5000
Ni 0.3503 0.8419 0.8419
Ni 0.5000 0.0000 0.5000
Ni 0.5000 0.2075 0.7925
Ni 0.5000 0.5000 0.0000
Ni 0.5000 0.7925 0.2075
Ni 0.6497 0.1581 0.1581
Ni 0.7925 0.2075 0.5000
Ni 0.7925 0.5000 0.2075
Ni 0.8419 0.3503 0.8419
Ni 0.8419 0.8419 0.3503

Total energy   -107.11 eV per formula unit
Energy of formation from the pure elements   -236 meV per atom
Calculated volume   255 Å³/f.u.
Space group   R-3m, No. 166
Mass density   8.5 Mg/m³

(2)
## LaGa3Ni3 (PBE)

Data for an optimized crystal structure of LaGa3Ni3.

abc: 6.4832 6.4832 6.4832
angles: 90.00 90.00 90.00
Positions (direct):
La 0.0000 0.0000 0.0000
La 0.5000 0.5000 0.5000
Ga 0.0000 0.2500 0.5000
Ga 0.0000 0.7500 0.5000
Ga 0.2500 0.5000 0.0000
Ga 0.5000 0.0000 0.2500
Ga 0.5000 0.0000 0.7500
Ga 0.7500 0.5000 0.0000
Ni 0.0000 0.5000 0.2500
Ni 0.0000 0.5000 0.7500
Ni 0.2500 0.0000 0.5000
Ni 0.5000 0.2500 0.0000
Ni 0.5000 0.7500 0.0000
Ni 0.7500 0.0000 0.5000

Total energy   -32.59 eV per formula unit
Energy of formation from the pure elements   -176 meV per atom
Calculated volume   136 Å³/f.u.
Polymorph energy (0 for the lowest one)   0.125 eV per atom
Space group   Pm-3n, No. 223
Mass density   6.4 Mg/m³

(3)
## La2Ga3Ni5 (PBE)

Data for an optimized crystal structure of La2Ga3Ni5.

abc: 8.2656 8.2656 8.2656
angles: 105.28 88.80 139.23
Positions (direct):
La 0.1274 0.2357 0.3632
La 0.3726 0.7357 0.1083
La 0.6274 0.2643 0.8917
La 0.8726 0.7643 0.6368
Ga 0.1399 0.9004 0.0403
Ga 0.2500 0.7500 0.5000
Ga 0.3601 0.4004 0.7606
Ga 0.6399 0.5996 0.2394
Ga 0.7500 0.2500 0.5000
Ga 0.8601 0.0996 0.9597
Ni 0.0342 0.7500 0.2842
Ni 0.1129 0.6574 0.7703
Ni 0.2500 0.2500 0.0000
Ni 0.3871 0.1574 0.5445
Ni 0.4658 0.7500 0.7158
Ni 0.5342 0.2500 0.2842
Ni 0.6129 0.8426 0.4555
Ni 0.7500 0.7500 0.0000
Ni 0.8871 0.3426 0.2297
Ni 0.9658 0.2500 0.7158

Total energy   -52.60 eV per formula unit
Energy of formation from the pure elements   -476 meV per atom
Calculated volume   171 Å³/f.u.
Space group   Ibam, No. 72
Mass density   7.6 Mg/m³

(4)
## La8Ga2Ni (PBE)

Data for an optimized crystal structure of La8Ga2Ni.

abc: 9.9632 9.9632 6.9227
angles: 104.92 104.92 29.76
Positions (direct):
La 0.0183 0.0183 0.2942
La 0.2110 0.2110 0.7954
La 0.3446 0.3446 0.5321
La 0.4100 0.4100 0.0535
La 0.5900 0.5900 0.9465
La 0.6554 0.6554 0.4679
La 0.7890 0.7890 0.2046
La 0.9817 0.9817 0.7058
Ga 0.1809 0.1809 0.2260
Ga 0.8191 0.8191 0.7740
Ni 0.5000 0.5000 0.5000

Total energy   -54.26 eV per formula unit
Energy of formation from the pure elements   -273 meV per atom
Calculated volume   329 Å³/f.u.
Polymorph energy (0 for the lowest one)   0.000 eV per atom
Space group   C2/m, No. 12
Mass density   6.6 Mg/m³